Record 1
Crystalline Dy5ZnGa2 at its relaxed geometry. Source: Alexandria via LeMat-Bulk, functional PBE.

Cell lengths 7.502, 7.502, 14.692 Å; angles 90.00, 90.00, 90.00 degrees
Space group I4/mcm (No. 140)
Symmetry-distinct sites (fractional):
Dy1 0.000 0.000 0.000 (multiplicity 4)
Dy2 0.172 0.328 0.147 (multiplicity 16)
Zn1 0.000 0.000 0.250 (multiplicity 4)
Ga1 0.121 0.379 0.500 (multiplicity 8)

Summary:
Theoretical density: 8.2 Mg/m³
Magnetic moment: 0.0 μB per cell
E_tot: -0.15359 Ha/atom

Record 2
Crystalline Dy3Zn7Ga4 at its relaxed geometry. Source: Alexandria via LeMat-Bulk, functional PBE.

Cell lengths 15.711, 4.275, 9.438 Å; angles 90.00, 126.72, 90.00 degrees
Space group C2/m (No. 12)
Symmetry-distinct sites (fractional):
Dy1 0.000 0.000 0.000 (multiplicity 2)
Dy2 0.201 0.500 0.701 (multiplicity 4)
Zn1 0.000 0.000 0.500 (multiplicity 2)
Zn2 0.002 0.500 0.314 (multiplicity 4)
Zn3 0.145 0.000 0.424 (multiplicity 4)
Zn4 0.155 0.500 0.018 (multiplicity 4)
Ga1 0.142 0.000 0.861 (multiplicity 4)
Ga2 0.154 0.500 0.283 (multiplicity 4)

Summary:
Theoretical density: 8.0 Mg/m³
Magnetic moment: 0.0 μB per cell
E_tot: -0.10729 Ha/atom

Record 3
Crystalline DyZn4Ga at its relaxed geometry. Source: Alexandria via LeMat-Bulk, functional PBE.

Cell lengths 7.589, 7.589, 7.589 Å; angles 90.00, 90.00, 90.00 degrees
Space group F-43m (No. 216)
Symmetry-distinct sites (fractional):
Dy1 0.000 0.000 0.000 (multiplicity 4)
Zn1 0.125 0.125 0.375 (multiplicity 16)
Ga1 0.250 0.250 0.750 (multiplicity 4)

Summary:
Theoretical density: 7.5 Mg/m³
Magnetic moment: 0.0 μB per cell
E_tot: -0.08332 Ha/atom

Record 4
Crystalline Dy2Zn3Ga at its relaxed geometry. Source: Alexandria via LeMat-Bulk, functional PBE.

Cell lengths 3.940, 4.212, 15.212 Å; angles 90.00, 90.00, 90.00 degrees
Space group Imm2 (No. 44)
Symmetry-distinct sites (fractional):
Dy1 0.000 0.000 0.000 (multiplicity 2)
Dy2 0.000 0.500 0.248 (multiplicity 2)
Zn1 0.000 0.000 0.420 (multiplicity 2)
Zn2 0.000 0.500 0.666 (multiplicity 2)
Zn3 0.000 0.500 0.828 (multiplicity 2)
Ga1 0.000 0.000 0.583 (multiplicity 2)

Summary:
Theoretical density: 7.8 Mg/m³
Magnetic moment: 0.0 μB per cell
E_tot: -0.11275 Ha/atom

Record 5
Crystalline Dy2Zn15Ga2 at its relaxed geometry. Source: Alexandria via LeMat-Bulk, functional PBE.

Cell lengths 9.0899, 9.0899, 12.9821 Å; angles 90.00, 90.00, 120.00 degrees
Space group R-3m (No. 166, hexagonal axes)
Symmetry-distinct sites (fractional):
Dy1 0.0000 0.0000 0.1656 (multiplicity 6)
Zn1 0.0000 0.3095 0.5000 (multiplicity 18)
Zn2 0.0000 0.5000 0.0000 (multiplicity 9)
Zn3 0.0125 0.5063 0.6559 (multiplicity 18)
Ga1 0.0000 0.0000 0.4010 (multiplicity 6)

Summary:
Theoretical density: 7.8 Mg/m³
Magnetic moment: 0.0 μB per cell
E_tot: -0.07476 Ha/atom

Record 6
Crystalline Dy5Zn2Ga at its relaxed geometry. Source: Alexandria via LeMat-Bulk, functional PBE.

Cell lengths 7.376, 7.376, 15.027 Å; angles 90.00, 90.00, 90.00 degrees
Space group I4/mcm (No. 140)
Symmetry-distinct sites (fractional):
Dy1 0.000 0.000 0.000 (multiplicity 4)
Dy2 0.169 0.331 0.151 (multiplicity 16)
Zn1 0.121 0.379 0.500 (multiplicity 8)
Ga1 0.000 0.000 0.250 (multiplicity 4)

Summary:
Theoretical density: 8.2 Mg/m³
Magnetic moment: 0.0 μB per cell
E_tot: -0.14274 Ha/atom

Question: Which value of theoretical density does entry 2 give?
Answer: 8.0 Mg/m³